(1)
Entry from Alexandria: crystalline Rb2SbAs2 at its relaxed geometry (PBE).

* density: 3.95 g cm⁻³
* energy relative to the elements, uncorrected: -31 kJ/mol of atoms
* DOS at the Fermi energy: 0.2114 states/eV/atom
* SG: C2/m (12)
* energy above the most stable polymorph in this dataset: 0.0 meV/atom

Cell: 7.065 7.065 11.228 Å, 110.42 110.42 45.85°
Positions (direct):
Rb: 0.119 0.119 0.422
Rb: 0.273 0.273 0.850
Rb: 0.727 0.727 0.150
Rb: 0.881 0.881 0.578
Sb: 0.462 0.462 0.194
Sb: 0.538 0.538 0.806
As: 0.024 0.024 0.909
As: 0.410 0.410 0.399
As: 0.590 0.590 0.601
As: 0.976 0.976 0.091

=====

(2)
Entry from Alexandria: crystalline AlAgAu6 at its relaxed geometry (PBE).

* formation energy from the elements: -114 meV/atom
* density: 15.42 g cm⁻³
* DOS at the Fermi energy: 0.2583 states/eV/atom
* SG: Amm2 (38)
* energy above the most stable polymorph in this dataset: 0.0 meV/atom

Cell: 4.356 5.755 5.755 Å, 79.37 90.00 90.00°
Positions (direct):
Al: 0.000 0.000 0.000
Ag: 0.000 0.468 0.468
Au: 0.000 0.487 0.969
Au: 0.000 0.969 0.487
Au: 0.500 0.174 0.752
Au: 0.500 0.237 0.237
Au: 0.500 0.686 0.686
Au: 0.500 0.752 0.174

=====

(3)
Entry from Alexandria: crystalline Pr5ErCd3 at its relaxed geometry (PBE).

* formation energy from the elements: -175 meV/atom
* density: 7.25 g cm⁻³
* DOS at the Fermi energy: 0.9366 states/eV/atom
* SG: P6_3/mcm (193)

Cell: 9.516 9.516 7.062 Å, 90.00 90.00 120.00°
Positions (direct):
Pr: 0.000 0.334 0.250
Pr: 0.000 0.666 0.750
Pr: 0.333 0.667 0.000
Pr: 0.333 0.667 0.500
Pr: 0.334 0.000 0.250
Pr: 0.334 0.334 0.750
Pr: 0.666 0.000 0.750
Pr: 0.666 0.666 0.250
Pr: 0.667 0.333 0.000
Pr: 0.667 0.333 0.500
Er: 0.000 0.000 0.000
Er: 0.000 0.000 0.500
Cd: 0.000 0.327 0.750
Cd: 0.000 0.673 0.250
Cd: 0.327 0.000 0.750
Cd: 0.327 0.327 0.250
Cd: 0.673 0.000 0.250
Cd: 0.673 0.673 0.750

=====

(4)
Entry from Alexandria: crystalline BaCoTe2 at its relaxed geometry (PBE).

* density: 5.90 g cm⁻³
* energy relative to the elements, uncorrected: -55 kJ/mol of atoms
* DOS at the Fermi energy: 0.9509 states/eV/atom
* SG: P2/m (10)

Cell: 4.734 3.985 6.847 Å, 90.00 100.30 90.00°
Positions (direct):
Ba: 0.000 0.000 0.000
Co: 0.500 0.000 0.500
Te: 0.416 0.500 0.717
Te: 0.584 0.500 0.283

=====

(5)
Entry from Alexandria: crystalline Tb16Pm6Er7 at its relaxed geometry (PBE).

* formation energy from the elements: 230 meV/atom
* density: 7.76 g cm⁻³
* DOS at the Fermi energy: 1.8412 states/eV/atom
* SG: Fm-3m (225)

Cell: 11.154 11.154 11.154 Å, 60.00 60.00 60.00°
Positions (direct):
Tb: 0.045 0.652 0.652
Tb: 0.125 0.125 0.125
Tb: 0.125 0.125 0.626
Tb: 0.125 0.626 0.125
Tb: 0.348 0.348 0.348
Tb: 0.348 0.348 0.955
Tb: 0.348 0.955 0.348
Tb: 0.374 0.875 0.875
Tb: 0.626 0.125 0.125
Tb: 0.652 0.045 0.652
Tb: 0.652 0.652 0.045
Tb: 0.652 0.652 0.652
Tb: 0.875 0.374 0.875
Tb: 0.875 0.875 0.374
Tb: 0.875 0.875 0.875
Tb: 0.955 0.348 0.348
Pm: 0.276 0.276 0.724
Pm: 0.276 0.724 0.276
Pm: 0.276 0.724 0.724
Pm: 0.724 0.276 0.276
Pm: 0.724 0.276 0.724
Pm: 0.724 0.724 0.276
Er: 0.000 0.000 0.000
Er: 0.000 0.000 0.500
Er: 0.000 0.500 0.000
Er: 0.000 0.500 0.500
Er: 0.500 0.000 0.000
Er: 0.500 0.000 0.500
Er: 0.500 0.500 0.000

=====

(6)
Entry from Alexandria: crystalline Zr6BiC at its relaxed geometry (PBE).

* formation energy from the elements: -297 meV/atom
* density: 7.38 g cm⁻³
* DOS at the Fermi energy: 0.6920 states/eV/atom
* SG: R-3 (148)

Cell: 5.698 5.698 5.698 Å, 101.13 101.13 101.13°
Positions (direct):
Zr: 0.183 0.259 0.599
Zr: 0.259 0.599 0.183
Zr: 0.401 0.817 0.741
Zr: 0.599 0.183 0.259
Zr: 0.741 0.401 0.817
Zr: 0.817 0.741 0.401
Bi: 0.000 0.000 0.000
C: 0.500 0.500 0.500

=====

(7)
Entry from Alexandria: crystalline Zr3HgN at its relaxed geometry (PBE).

* density: 7.74 g cm⁻³
* energy relative to the elements, uncorrected: -52 kJ/mol of atoms
* DOS at the Fermi energy: 0.9611 states/eV/atom
* SG: C2/c (15)

Cell: 8.691 8.691 6.057 Å, 101.34 101.34 70.60°
Positions (direct):
Zr: 0.019 0.237 0.117
Zr: 0.077 0.585 0.368
Zr: 0.237 0.019 0.617
Zr: 0.270 0.375 0.921
Zr: 0.375 0.270 0.421
Zr: 0.415 0.923 0.132
Zr: 0.585 0.077 0.868
Zr: 0.625 0.730 0.579
Zr: 0.730 0.625 0.079
Zr: 0.763 0.981 0.383
Zr: 0.923 0.415 0.632
Zr: 0.981 0.763 0.883
Hg: 0.335 0.665 0.750
Hg: 0.362 0.638 0.250
Hg: 0.638 0.362 0.750
Hg: 0.665 0.335 0.250
N: 0.099 0.231 0.808
N: 0.231 0.099 0.308
N: 0.769 0.901 0.692
N: 0.901 0.769 0.192

=====

(8)
Entry from Alexandria: crystalline LaNp2FeN4 at its relaxed geometry (PBE).

* density: 10.70 g cm⁻³
* energy relative to the elements, uncorrected: -103 kJ/mol of atoms
* DOS at the Fermi energy: 1.0873 states/eV/atom
* SG: Cmcm (63)

Cell: 5.993 5.993 11.343 Å, 90.00 90.00 146.47°
Positions (direct):
La: 0.100 0.900 0.750
La: 0.900 0.100 0.250
Np: 0.369 0.631 0.556
Np: 0.369 0.631 0.944
Np: 0.631 0.369 0.056
Np: 0.631 0.369 0.444
Fe: 0.164 0.836 0.250
Fe: 0.836 0.164 0.750
N: 0.000 0.000 0.000
N: 0.000 0.000 0.500
N: 0.264 0.736 0.110
N: 0.264 0.736 0.390
N: 0.437 0.563 0.750
N: 0.563 0.437 0.250
N: 0.736 0.264 0.610
N: 0.736 0.264 0.890